A plane-wave DFT calculation with PBE-GGA was carried out for an optimized crystal structure of Pr5GaHg2.

E above lowest polymorph = 31 meV per atom
total DFT energy (no corrections) = -60.40 eV/cell
ΔE_f = -0.33 eV/atom
density = 8.0 g cm⁻³
size of the total moment = 0.00 μB per formula unit

a b c (Å): 7.910 7.910 9.628
angles (deg): 114.25 114.25 90.00
Positions (direct):
Pr 0.508 0.678 0.686
Pr 0.822 0.992 0.314
Pr 0.000 0.000 0.000
Pr 0.500 0.500 0.000
Pr 0.178 0.008 0.686
Pr 0.678 0.178 0.686
Pr 0.008 0.508 0.686
Pr 0.322 0.822 0.314
Pr 0.992 0.492 0.314
Pr 0.492 0.322 0.314
Ga 0.750 0.750 0.500
Ga 0.250 0.250 0.500
Hg 0.130 0.370 0.000
Hg 0.630 0.130 0.000
Hg 0.370 0.870 0.000
Hg 0.870 0.630 0.000